w.
Mn2BeCd: relaxed, GGA-PBE.

Values from the calculation:
- magnetization (μB per formula unit) = 6.17
- space group = P4/mmm (123)
- volume (Å³ per atom) = 13.67

The structure in extended XYZ format:
```
4
Lattice="2.7904 0.0000 0.0000 0.0000 2.7809 0.0069 0.0000 2.7627 7.0521" Properties=species:S:1:pos:R:3 pbc="T T T"
Be 1.3952 1.3859 1.7648
Mn 0.0000 2.7782 0.3969
Mn 0.0000 2.7745 3.1396
Cd 1.3952 4.1577 5.2943
```

---

x.
Mn2BeCd: relaxed, GGA-PBE.

Values from the calculation:
- magnetization (μB per formula unit) = 6.04
- space group = Fm-3m (225)
- volume (Å³ per atom) = 14.30

The structure in extended XYZ format:
```
4
Lattice="0.0000 3.0579 3.0579 3.0579 0.0000 3.0579 3.0579 3.0579 0.0000" Properties=species:S:1:pos:R:3 pbc="T T T"
Mn 4.5868 4.5868 4.5868
Mn 1.5289 1.5289 1.5289
Cd 3.0579 3.0579 3.0579
Be 0.0000 0.0000 0.0000
```

---

y.
Mn2BeCd: relaxed, GGA-PBE.

Values from the calculation:
- magnetization (μB per formula unit) = 6.17
- space group = I4/mmm (139)
- volume (Å³ per atom) = 14.07

The structure in extended XYZ format:
```
4
Lattice="-3.4227 -1.7292 2.6250 1.9403 -2.1411 3.6397 0.6516 4.2717 -1.7100" Properties=species:S:1:pos:R:3 pbc="T T T"
Mn -0.7412 -1.9352 3.1323
Mn 0.0000 0.0000 0.0000
Be 0.9253 0.0977 2.5310
Cd -1.7562 0.3036 2.0237
```

---

Verdict on stability: x comes out at the bottom.

---

w.
Mn2BeCd: relaxed, GGA-PBE.

Values from the calculation:
- magnetization (μB per formula unit) = 5.97
- space group = Immm (71)
- volume (Å³ per atom) = 13.75

The structure in extended XYZ format:
```
4
Lattice="5.0259 0.0189 0.0090 4.1490 2.8366 0.0090 1.8807 0.5853 3.8821" Properties=species:S:1:pos:R:3 pbc="T T T"
Mn 8.9449 2.7840 0.1387
Mn 5.7578 1.7920 1.8292
Cd 8.2917 2.5807 2.9250
Be 2.7639 0.8602 0.9750
```

---

x.
Mn2BeCd: relaxed, GGA-PBE.

Values from the calculation:
- magnetization (μB per formula unit) = 0.14
- space group = Cm (8)
- volume (Å³ per atom) = 13.66

The structure in extended XYZ format:
```
4
Lattice="-3.2161 -0.2308 2.8563 -2.1988 -2.6850 2.5518 2.7708 0.6321 4.1614" Properties=species:S:1:pos:R:3 pbc="T T T"
Mn -5.1880 -2.8534 5.6633
Mn -0.6607 -0.5624 2.3248
Cd -2.0449 -1.7299 7.1088
Be -1.4875 -1.1956 4.6655
```

---

Verdict on stability: w comes out at the bottom.

---

w.
MnBeCd: relaxed, GGA-PBE.

Values from the calculation:
- magnetization (μB per formula unit) = 3.23
- space group = P-6m2 (187)
- volume (Å³ per atom) = 14.51

The structure in extended XYZ format:
```
3
Lattice="4.2310 0.0000 0.0000 -2.1155 3.6642 0.0000 0.0000 0.0000 2.8088" Properties=species:S:1:pos:R:3 pbc="T T T"
Be 0.0000 0.0000 0.4682
Cd 0.0000 2.4428 0.4679
Mn 2.1155 1.2214 1.8727
```

---

x.
MnBeCd: relaxed, GGA-PBE.

Values from the calculation:
- magnetization (μB per formula unit) = 2.66
- space group = I4mm (107)
- volume (Å³ per atom) = 13.82

The structure in extended XYZ format:
```
3
Lattice="-1.1986 4.8018 -2.7010 -3.6894 3.8427 -1.8480 -0.0565 1.9399 2.0211" Properties=species:S:1:pos:R:3 pbc="T T T"
Mn -3.1462 6.2274 -2.1804
Cd -1.7010 4.2219 -0.2151
Be -0.1538 2.0749 1.8888
```

---

y.
MnBeCd: relaxed, GGA-PBE.

Values from the calculation:
- magnetization (μB per formula unit) = 3.08
- space group = F-43m (216)
- volume (Å³ per atom) = 15.61

The structure in extended XYZ format:
```
3
Lattice="-3.0170 2.4397 -1.1477 -3.8194 -1.3333 0.0736 -2.5935 1.4419 2.7506" Properties=species:S:1:pos:R:3 pbc="T T T"
Mn -4.7150 1.2742 0.8383
Cd 0.0000 0.0000 0.0000
Be -7.0724 1.9112 1.2574
```

---

Verdict on stability: y comes out at the bottom.

---

w.
MnBe3Cd: relaxed, GGA-PBE.

Values from the calculation:
- magnetization (μB per formula unit) = 4.18
- space group = Pm-3m (221)
- volume (Å³ per atom) = 16.56

The structure in extended XYZ format:
```
5
Lattice="-4.1892 0.9439 -0.7466 0.4195 -1.3891 -4.1100 -1.1280 -4.0221 1.2443" Properties=species:S:1:pos:R:3 pbc="T T T"
Be 0.2097 -0.6945 -2.0550
Be -2.0946 0.4719 -0.3733
Be -0.5640 -2.0110 0.6221
Cd 0.0000 0.0000 0.0000
Mn -2.4489 -2.2336 -1.8062
```

---

x.
MnBe3Cd: relaxed, GGA-PBE.

Values from the calculation:
- magnetization (μB per formula unit) = 1.20
- space group = Pm-3m (221)
- volume (Å³ per atom) = 13.91

The structure in extended XYZ format:
```
5
Lattice="-2.2375 -1.4869 -3.1141 0.1593 -3.7519 1.6770 -3.4471 0.7918 2.0988" Properties=species:S:1:pos:R:3 pbc="T T T"
Mn 0.0000 0.0000 0.0000
Be -1.7236 0.3959 1.0494
Be 0.0796 -1.8760 0.8385
Be -1.1188 -0.7434 -1.5570
Cd -2.7627 -2.2235 0.3309
```

---

Verdict on stability: w comes out at the bottom.

---

w.
MnBeCd3: relaxed, GGA-PBE.

Values from the calculation:
- magnetization (μB per formula unit) = 3.59
- space group = Pm-3m (221)
- volume (Å³ per atom) = 27.18

The structure in extended XYZ format:
```
5
Lattice="-1.3945 -1.4174 -4.7415 4.1468 -3.0232 -0.3158 -2.7010 -3.9098 1.9631" Properties=species:S:1:pos:R:3 pbc="T T T"
Cd -1.3505 -1.9549 0.9816
Cd -0.6972 -0.7087 -2.3707
Cd 2.0734 -1.5116 -0.1579
Mn 0.0000 0.0000 0.0000
Be 0.0257 -4.1752 -1.5471
```

---

x.
MnBeCd3: relaxed, GGA-PBE.

Values from the calculation:
- magnetization (μB per formula unit) = 4.35
- space group = Pm-3m (221)
- volume (Å³ per atom) = 20.12

The structure in extended XYZ format:
```
5
Lattice="4.6509 0.0000 0.0000 0.0000 4.6509 0.0000 0.0000 0.0000 4.6509" Properties=species:S:1:pos:R:3 pbc="T T T"
Cd 0.0000 2.3254 0.0000
Cd 2.3254 0.0000 0.0000
Cd 0.0000 0.0000 2.3254
Be 0.0000 0.0000 0.0000
Mn 2.3254 2.3254 2.3254
```

---

Verdict on stability: w comes out at the bottom.